1.
Here is a relaxed Nd3InRh3 crystal from Alexandria. Energies are from PBE-GGA.

a = 5.7329 Å, b = 5.7329 Å, c = 13.8237 Å
α = 90.00°, β = 90.00°, γ = 134.51°
With the nearest neighbours (Å) after each atom.
Fractional positions:
1 Nd 0.0214 0.9786 0.7500  5 Rh 2.88-3.19
2 Nd 0.3007 0.6993 0.6066  6 Rh 2.98-3.14
3 Nd 0.3007 0.6993 0.8934  6 Rh 2.98-3.14
4 Nd 0.6993 0.3007 0.1066  6 Rh 2.98-3.14
5 Nd 0.6993 0.3007 0.3934  6 Rh 2.98-3.14
6 Nd 0.9786 0.0214 0.2500  5 Rh 2.88-3.19
7 In 0.0000 0.0000 0.0000  4 Rh 2.74
8 In 0.0000 0.0000 0.5000  4 Rh 2.74
9 Rh 0.2508 0.7492 0.2500  2 Rh 2.74, 5 Nd 2.88-3.02
10 Rh 0.4086 0.5914 0.0929  2 In 2.74, 1 Rh 2.74, 1 Nd 2.98
11 Rh 0.4086 0.5914 0.4071  2 In 2.74, 1 Rh 2.74, 1 Nd 2.98
12 Rh 0.5914 0.4086 0.5929  2 In 2.74, 1 Rh 2.74, 1 Nd 2.98
13 Rh 0.5914 0.4086 0.9071  2 In 2.74, 1 Rh 2.74, 1 Nd 2.98
14 Rh 0.7492 0.2508 0.7500  2 Rh 2.74, 5 Nd 2.88-3.02

## Properties
uncorrected energy	-87.78	eV per cell
energy above the lowest structure with this stoichiometry	0.0	meV/atom
formation energy from the elements	-0.685	eV per atom
D(E_F)	10.998	states/eV per cell


2.
Here is a relaxed Nd12In6Rh crystal from Alexandria. Energies are from PBE-GGA.

a = 8.5287 Å, b = 8.5287 Å, c = 8.5287 Å
α = 94.03°, β = 94.03°, γ = 94.03°
With the nearest neighbours (Å) after each atom.
Fractional positions:
1 Nd 0.0208 0.9088 0.6788  1 Rh 2.82
2 Nd 0.0912 0.3212 0.9792  1 Rh 2.82
3 Nd 0.1987 0.4308 0.5457  4 In 3.22-3.35
4 Nd 0.3212 0.9792 0.0912  1 Rh 2.82
5 Nd 0.4308 0.5457 0.1987  4 In 3.22-3.35
6 Nd 0.4543 0.8013 0.5692  4 In 3.22-3.35
7 Nd 0.5457 0.1987 0.4308  4 In 3.22-3.35
8 Nd 0.5692 0.4543 0.8013  4 In 3.22-3.35
9 Nd 0.6788 0.0208 0.9088  1 Rh 2.82
10 Nd 0.8013 0.5692 0.4543  4 In 3.22-3.35
11 Nd 0.9088 0.6788 0.0208  1 Rh 2.82
12 Nd 0.9792 0.0912 0.3212  1 Rh 2.82
13 In 0.1387 0.7332 0.3383  8 Nd 3.22-3.45
14 In 0.2668 0.6617 0.8613  8 Nd 3.22-3.45
15 In 0.3383 0.1387 0.7332  8 Nd 3.22-3.45
16 In 0.6617 0.8613 0.2668  8 Nd 3.22-3.45
17 In 0.7332 0.3383 0.1387  8 Nd 3.22-3.45
18 In 0.8613 0.2668 0.6617  8 Nd 3.22-3.45
19 Rh 0.0000 0.0000 0.0000  6 Nd 2.82

## Properties
uncorrected energy	-85.84	eV per cell
formation energy from the elements	-0.255	eV per atom
D(E_F)	21.203	states/eV per cell


3.
Here is a relaxed Nd5In2Rh crystal from Alexandria. Energies are from PBE-GGA.

a = 7.8384 Å, b = 12.5390 Å, c = 4.9017 Å
α = 90.00°, β = 90.00°, γ = 90.00°
With the nearest neighbours (Å) after each atom.
Fractional positions:
1 Nd 0.0000 0.0000 0.0000  4 In 3.28, 4 Nd 3.61
2 Nd 0.1306 0.2945 0.0000  1 Rh 2.77
3 Nd 0.1840 0.5745 0.5000  2 Rh 2.99, 2 In 3.34-3.35
4 Nd 0.3160 0.0745 0.5000  2 Rh 2.99, 2 In 3.34-3.35
5 Nd 0.3694 0.7945 0.0000  1 Rh 2.77
6 Nd 0.5000 0.5000 0.0000  4 In 3.28, 4 Nd 3.61
7 Nd 0.6306 0.2055 0.0000  1 Rh 2.77
8 Nd 0.6840 0.9255 0.5000  2 Rh 2.99, 2 In 3.34-3.35
9 Nd 0.8160 0.4255 0.5000  2 Rh 2.99, 2 In 3.34-3.35
10 Nd 0.8694 0.7055 0.0000  1 Rh 2.77
11 In 0.0835 0.8339 0.5000  9 Nd 3.28-3.52
12 In 0.4165 0.3339 0.5000  9 Nd 3.28-3.52
13 In 0.5835 0.6661 0.5000  9 Nd 3.28-3.52
14 In 0.9165 0.1661 0.5000  9 Nd 3.28-3.52
15 Rh 0.0000 0.5000 0.0000  6 Nd 2.77-2.99
16 Rh 0.5000 0.0000 0.0000  6 Nd 2.77-2.99

## Properties
uncorrected energy	-80.57	eV per cell
formation energy from the elements	-0.452	eV per atom
D(E_F)	12.322	states/eV per cell


4.
Here is a relaxed NdIn3Rh4 crystal from Alexandria. Energies are from PBE-GGA.

a = 4.5963 Å, b = 4.5963 Å, c = 6.8688 Å
α = 90.00°, β = 90.00°, γ = 90.00°
With the nearest neighbours (Å) after each atom.
Fractional positions:
1 Nd 0.0000 0.0000 0.0000  8 Rh 2.94, 4 In 3.25
2 In 0.0000 0.0000 0.5000  8 Rh 2.80
3 In 0.5000 0.5000 0.0000  8 Rh 2.94, 4 Nd 3.25
4 In 0.5000 0.5000 0.5000  8 Rh 2.80
5 Rh 0.0000 0.5000 0.2677  6 In 2.80-2.94, 2 Nd 2.94
6 Rh 0.0000 0.5000 0.7323  6 In 2.80-2.94, 2 Nd 2.94
7 Rh 0.5000 0.0000 0.2677  6 In 2.80-2.94, 2 Nd 2.94
8 Rh 0.5000 0.0000 0.7323  6 In 2.80-2.94, 2 Nd 2.94

## Properties
uncorrected energy	-46.68	eV per cell
formation energy from the elements	-0.536	eV per atom
D(E_F)	1.320	states/eV per cell


5.
Here is a relaxed NdIn3Rh crystal from Alexandria. Energies are from PBE-GGA.

a = 6.6997 Å, b = 10.0810 Å, c = 7.7528 Å
α = 90.00°, β = 90.00°, γ = 90.00°
With the nearest neighbours (Å) after each atom.
Fractional positions:
1 Nd 0.0558 0.2500 0.0162  9 In 3.33-3.50
2 Nd 0.4442 0.7500 0.5162  9 In 3.33-3.50
3 Nd 0.5558 0.2500 0.4838  9 In 3.33-3.50
4 Nd 0.9442 0.7500 0.9838  9 In 3.33-3.50
5 In 0.0602 0.2500 0.4483  2 Rh 2.58
6 In 0.2244 0.5335 0.2309  2 Rh 2.59
7 In 0.2244 0.9665 0.2309  2 Rh 2.59
8 In 0.2756 0.0335 0.7309  2 Rh 2.59
9 In 0.2756 0.4665 0.7309  2 Rh 2.59
10 In 0.4398 0.7500 0.9483  2 Rh 2.58
11 In 0.5602 0.2500 0.0517  2 Rh 2.58
12 In 0.7244 0.5335 0.2691  2 Rh 2.59
13 In 0.7244 0.9665 0.2691  2 Rh 2.59
14 In 0.7756 0.0335 0.7691  2 Rh 2.59
15 In 0.7756 0.4665 0.7691  2 Rh 2.59
16 In 0.9398 0.7500 0.5517  2 Rh 2.58
17 Rh 0.0000 0.0000 0.5000  6 In 2.58-2.59
18 Rh 0.0000 0.5000 0.5000  6 In 2.58-2.59
19 Rh 0.5000 0.0000 0.0000  6 In 2.58-2.59
20 Rh 0.5000 0.5000 0.0000  6 In 2.58-2.59

## Properties
uncorrected energy	-86.77	eV per cell
energy above the lowest structure with this stoichiometry	224.9	meV/atom
formation energy from the elements	-0.272	eV per atom
D(E_F)	12.037	states/eV per cell


6.
Here is a relaxed Nd2InRh2 crystal from Alexandria. Energies are from PBE-GGA.

a = 7.6031 Å, b = 7.6031 Å, c = 3.9695 Å
α = 90.00°, β = 90.00°, γ = 90.00°
With the nearest neighbours (Å) after each atom.
Fractional positions:
1 Nd 0.1713 0.3287 0.0000  6 Rh 2.90-3.06
2 Nd 0.3287 0.8287 0.0000  6 Rh 2.90-3.06
3 Nd 0.6713 0.1713 0.0000  6 Rh 2.90-3.06
4 Nd 0.8287 0.6713 0.0000  6 Rh 2.90-3.06
5 In 0.0000 0.0000 0.5000  4 Rh 2.97
6 In 0.5000 0.5000 0.5000  4 Rh 2.97
7 Rh 0.1321 0.6321 0.5000  1 Rh 2.84, 6 Nd 2.90-3.06, 2 In 2.97
8 Rh 0.3679 0.1321 0.5000  1 Rh 2.84, 6 Nd 2.90-3.06, 2 In 2.97
9 Rh 0.6321 0.8679 0.5000  1 Rh 2.84, 6 Nd 2.90-3.06, 2 In 2.97
10 Rh 0.8679 0.3679 0.5000  1 Rh 2.84, 6 Nd 2.90-3.06, 2 In 2.97

## Properties
uncorrected energy	-60.76	eV per cell
formation energy from the elements	-0.681	eV per atom
D(E_F)	6.621	states/eV per cell